Record 1
TiNiRh: optimized geometry, PBE-GGA.

For the size of the total moment, the calculation gives 0.000 μB per formula unit. The value obtained for the formation energy is -0.507 eV/atom.

The structure belongs to space group Cmcm (No. 63); the cell edges are 4.288, 7.518 and 5.136 Å and the angles 90.00°, 90.00° and 90.00°. The distinct sites, in fractional coordinates, are Ti at (0.000, 0.159, 0.250), Ni at (0.000, 0.500, 0.000) and Rh at (0.000, 0.172, 0.750).

***

Record 2
CeLuTlHg: optimized geometry, PBE-GGA.

For the size of the total moment, the calculation gives 1.472 μB per formula unit. The value obtained for the formation energy is -0.306 eV/atom.

The structure belongs to space group F-43m (No. 216); the cell edges are 7.577, 7.577 and 7.577 Å and the angles 90.00°, 90.00° and 90.00°. The distinct sites, in fractional coordinates, are Ce at (0.000, 0.000, 0.000), Lu at (0.000, 0.000, 0.500), Tl at (0.250, 0.250, 0.750) and Hg at (0.250, 0.250, 0.250).

***

Record 3
BaCo2Re: optimized geometry, PBE-GGA.

For the size of the total moment, the calculation gives 2.350 μB per formula unit. The value obtained for the formation energy is 0.747 eV/atom.

The structure belongs to space group P4mm (No. 99); the cell edges are 3.080, 3.080 and 7.729 Å and the angles 90.00°, 90.00° and 90.00°. The distinct sites, in fractional coordinates, are Ba at (0.000, 0.000, 0.000), Co at (0.000, 0.000, 0.483), Co at (0.500, 0.500, 0.335) and Re at (0.500, 0.500, 0.647).

***

Record 4
K2Np2NbS6: optimized geometry, PBE-GGA.

For the formation energy from raw total energies, the calculation gives -1.29 eV per atom. For the size of the total moment, the calculation gives 9.009 μB per formula unit.

The structure belongs to space group C2/m (No. 12); the cell edges are 6.722, 11.524 and 7.918 Å and the angles 90.00°, 106.49° and 90.00°. The distinct sites, in fractional coordinates, are K at (0.000, 0.169, 0.000), Np at (0.000, 0.334, 0.500), Nb at (0.000, 0.000, 0.500), S at (0.224, 0.158, 0.694) and S at (0.248, 0.000, 0.305).

***

Record 5
RePbAu2: optimized geometry, PBE-GGA.

For the size of the total moment, the calculation gives 0.000 μB per formula unit. The value obtained for the formation energy is 0.617 eV/atom.

The structure belongs to space group Immm (No. 71); the cell edges are 2.981, 4.791 and 11.213 Å and the angles 90.00°, 90.00° and 90.00°. The distinct sites, in fractional coordinates, are Re at (0.000, 0.000, 0.000), Pb at (0.000, 0.000, 0.500) and Au at (0.000, 0.500, 0.287).

***

Record 6
BeRe2Sb: optimized geometry, PBE-GGA.

For the formation energy from raw total energies, the calculation gives 0.68 eV per atom. For the size of the total moment, the calculation gives 0.000 μB per formula unit.

The structure belongs to space group Cmm2 (No. 35); the cell edges are 3.064, 4.788 and 8.920 Å and the angles 90.00°, 90.00° and 90.00°. The distinct sites, in fractional coordinates, are Be at (0.000, 0.000, 0.000), Re at (0.000, 0.000, 0.563), Re at (0.000, 0.500, 0.800) and Sb at (0.000, 0.500, 0.276).

***

Question: Number 3 is which compound?
Answer: BaCo2Re

***

Question: The highest size of the total moment belongs to which entry?
Answer: K2Np2NbS6